Below is a relaxed DyGa4CuIr2 crystal, with properties calculated at the PBE level.

Values from the calculation:
E = -5.253 eV/atom
crystal system = trigonal

abc: 4.2698 4.2698 25.2611
angles: 90.00 90.00 120.00
Space group R-3m (No. 166, hexagonal axes)
Asymmetric unit:
1 Dy 0.0000 0.0000 0.0000
2 Ga 0.0000 0.0000 0.1317
3 Ga 0.0000 0.0000 0.3979
4 Cu 0.0000 0.0000 0.5000
5 Ir 0.0000 0.0000 0.2363

***

Below is a relaxed TbNd4In5 crystal, with properties calculated at the PBE level.

Values from the calculation:
E = -4.232 eV/atom
crystal system = tetragonal

abc: 3.8526 3.8526 19.3085
angles: 90.00 90.00 90.00
Space group P4/mmm (No. 123)
Asymmetric unit:
1 Tb 0.0000 0.0000 0.0000
2 Nd 0.0000 0.0000 0.1956
3 Nd 0.0000 0.0000 0.3986
4 In 0.5000 0.5000 0.0934
5 In 0.5000 0.5000 0.2972
6 In 0.5000 0.5000 0.5000

***

Below is a relaxed KReTcBr2 crystal, with properties calculated at the PBE level.

Values from the calculation:
crystal system = tetragonal
raw formation energy = 2.023 eV/atom

abc: 5.7184 5.7184 6.1991
angles: 90.00 90.00 90.00
Space group P4/mmm (No. 123)
Asymmetric unit:
1 K 0.0000 0.0000 0.0000
2 Re 0.0000 0.0000 0.5000
3 Tc 0.5000 0.5000 0.5000
4 Br 0.0000 0.5000 0.0000

***

Below is a relaxed Na3Hf3PaTe8 crystal, with properties calculated at the PBE level.

Values from the calculation:
crystal system = trigonal
raw formation energy = -0.834 eV/atom

abc: 8.1929 8.1929 23.4593
angles: 90.00 90.00 120.00
Space group R-3m (No. 166, hexagonal axes)
Asymmetric unit:
1 Na 0.0000 0.5000 0.0000
2 Hf 0.0000 0.5000 0.5000
3 Pa 0.0000 0.0000 0.5000
4 Te 0.0000 0.0000 0.2404
5 Te 0.0184 0.5092 0.7564

***

Below is a relaxed Tb3Pm2Pr9 crystal, with properties calculated at the PBE level.

Values from the calculation:
E = -4.511 eV/atom
crystal system = hexagonal

abc: 9.2268 9.2268 13.9536
angles: 90.00 90.00 120.00
Space group P6_3/m (No. 176)
Asymmetric unit:
1 Tb 0.0778 0.2487 0.2500
2 Pm 0.3333 0.6667 0.1415
3 Pr 0.0802 0.4810 0.7500
4 Pr 0.1300 0.7248 0.5396

***

Below is a relaxed Nb2ReHRu crystal, with properties calculated at the PBE level.

Values from the calculation:
E = -9.156 eV/atom
crystal system = tetragonal

abc: 4.3997 4.3997 3.5039
angles: 90.00 90.00 90.00
Space group P4/mmm (No. 123)
Asymmetric unit:
1 Nb 0.0000 0.5000 0.0000
2 Re 0.0000 0.0000 0.5000
3 H 0.5000 0.5000 0.0000
4 Ru 0.5000 0.5000 0.5000

***

These records have theoretical density values of 11.1 7.6 4.0 6.8 6.6 11.6 g/cm3, in the order they appear.
These records have DOS(E_F) values of 3.86 5.54 5.77 10.18 17.99 3.12 states/eV/f.u., in the order they appear.